1.
Entry from Alexandria: an optimized crystal structure of K2RbIn2Bi2 (PBE).

abc: 11.295 11.295 11.295
angles: 28.26 28.26 28.26
Element x y z (fractional)
K (0.139, 0.139, 0.139)
K (0.861, 0.861, 0.861)
Rb (0.000, 0.000, 0.000)
In (0.425, 0.425, 0.425)
In (0.575, 0.575, 0.575)
Bi (0.254, 0.254, 0.254)
Bi (0.746, 0.746, 0.746)

Values from the calculation:
The electronic total energy is -17.9 eV per cell. The density of states at the Fermi level comes out at 3.19 states/eV per cell. For the formation energy, the calculation gives -0.210 eV/atom.


2.
Entry from Alexandria: an optimized crystal structure of KRb2InBi2 (PBE).

abc: 10.087 10.087 10.087
angles: 131.06 69.06 134.47
Element x y z (fractional)
K (0.250, 0.250, 0.000)
K (0.750, 0.750, 0.000)
Rb (0.173, 0.720, 0.893)
Rb (0.327, 0.220, 0.547)
Rb (0.673, 0.780, 0.453)
Rb (0.827, 0.280, 0.107)
In (0.250, 0.750, 0.500)
In (0.750, 0.250, 0.500)
Bi (0.099, 0.300, 0.400)
Bi (0.401, 0.800, 0.201)
Bi (0.599, 0.200, 0.799)
Bi (0.901, 0.700, 0.600)

Values from the calculation:
The electronic total energy is -31.4 eV per cell. The density of states at the Fermi level comes out at 6.13 states/eV per cell. For the formation energy, the calculation gives -0.362 eV/atom.


3.
Entry from Alexandria: an optimized crystal structure of K4Rb2InBi2 (PBE).

abc: 9.630 9.630 5.963
angles: 107.84 107.84 59.51
Element x y z (fractional)
K (0.069, 0.658, 0.862)
K (0.342, 0.931, 0.138)
K (0.658, 0.069, 0.862)
K (0.931, 0.342, 0.138)
Rb (0.361, 0.361, 0.360)
Rb (0.639, 0.639, 0.640)
In (0.000, 0.000, 0.500)
Bi (0.199, 0.199, 0.699)
Bi (0.801, 0.801, 0.301)

Values from the calculation:
The electronic total energy is -18.6 eV per cell. The density of states at the Fermi level comes out at 6.61 states/eV per cell. For the formation energy, the calculation gives -0.200 eV/atom.


Repeat the second record exactly.
Entry from Alexandria: an optimized crystal structure of KRb2InBi2 (PBE).

abc: 10.087 10.087 10.087
angles: 131.06 69.06 134.47
Element x y z (fractional)
K (0.250, 0.250, 0.000)
K (0.750, 0.750, 0.000)
Rb (0.173, 0.720, 0.893)
Rb (0.327, 0.220, 0.547)
Rb (0.673, 0.780, 0.453)
Rb (0.827, 0.280, 0.107)
In (0.250, 0.750, 0.500)
In (0.750, 0.250, 0.500)
Bi (0.099, 0.300, 0.400)
Bi (0.401, 0.800, 0.201)
Bi (0.599, 0.200, 0.799)
Bi (0.901, 0.700, 0.600)

Values from the calculation:
The electronic total energy is -31.4 eV per cell. The density of states at the Fermi level comes out at 6.13 states/eV per cell. For the formation energy, the calculation gives -0.362 eV/atom.


Question: Which of these has the highest electronic total energy?
Answer: K2RbIn2Bi2


Question: Number 3 is which compound?
Answer: K4Rb2InBi2